ThGeSe4 after structural relaxation. Source: Alexandria, functional PBE.

abc: 7.262 6.815 6.962
angles: 90.00 96.49 90.00
Fractional positions:
1 Th 0.000 0.000 0.000
2 Th 0.500 0.500 0.000
3 Ge 0.500 0.000 0.500
4 Ge 0.000 0.500 0.500
5 Se 0.858 0.633 0.139
6 Se 0.642 0.133 0.861
7 Se 0.392 0.394 0.402
8 Se 0.108 0.894 0.598
9 Se 0.142 0.367 0.861
10 Se 0.358 0.867 0.139
11 Se 0.608 0.606 0.598
12 Se 0.892 0.106 0.402

Uncorrected formation energy, meV/atom: -733



Th8GeSe6 after structural relaxation. Source: Alexandria, functional PBE.

abc: 4.237 10.666 10.666
angles: 120.00 90.00 90.00
Fractional positions:
1 Th 0.743 0.965 0.270
2 Th 0.743 0.730 0.695
3 Th 0.743 0.305 0.035
4 Th 0.257 0.035 0.730
5 Th 0.257 0.270 0.305
6 Th 0.257 0.695 0.965
7 Th 0.747 0.333 0.667
8 Th 0.253 0.667 0.333
9 Ge 0.500 0.000 0.000
10 Se 0.753 0.634 0.123
11 Se 0.753 0.877 0.511
12 Se 0.753 0.489 0.366
13 Se 0.247 0.366 0.877
14 Se 0.247 0.123 0.489
15 Se 0.247 0.511 0.634

Uncorrected formation energy, meV/atom: -1043



Th3GeSe2 after structural relaxation. Source: Alexandria, functional PBE.

abc: 7.384 7.375 7.314
angles: 80.32 70.38 59.96
Fractional positions:
1 Th 0.419 0.663 0.755
2 Th 0.256 0.000 0.245
3 Th 0.581 0.337 0.245
4 Th 0.918 0.663 0.245
5 Th 0.082 0.337 0.755
6 Th 0.744 0.000 0.755
7 Ge 0.667 0.667 0.000
8 Ge 0.333 0.333 0.000
9 Se 0.000 0.000 0.000
10 Se 0.500 0.000 0.500
11 Se 0.167 0.667 0.500
12 Se 0.833 0.333 0.500

Energy relative to the lowest polymorph listed for this composition, meV per atom: 0
Uncorrected formation energy, meV/atom: -1342



Th2GeSe after structural relaxation. Source: Alexandria, functional PBE.

abc: 4.294 4.294 7.312
angles: 72.93 72.93 60.00
Fractional positions:
1 Ge 0.000 0.000 0.000
2 Se 0.500 0.500 0.500
3 Th 0.253 0.253 0.241
4 Th 0.747 0.747 0.759

Energy relative to the lowest polymorph listed for this composition, meV per atom: 0
Uncorrected formation energy, meV/atom: -1222



ThGeSe3 after structural relaxation. Source: Alexandria, functional PBE.

abc: 4.009 7.579 9.485
angles: 82.27 89.99 105.35
Fractional positions:
1 Th 0.401 0.836 0.285
2 Th 0.642 0.318 0.136
3 Ge 0.199 0.430 0.615
4 Ge 0.846 0.724 0.807
5 Se 0.048 0.130 0.369
6 Se 0.378 0.787 0.617
7 Se 0.667 0.367 0.804
8 Se 0.995 0.024 0.052
9 Se 0.285 0.603 0.047
10 Se 0.759 0.551 0.374

Uncorrected formation energy, meV/atom: -1044



Th4Ge2Se after structural relaxation. Source: Alexandria, functional PBE.

abc: 7.864 7.864 7.864
angles: 109.74 108.94 109.74
Fractional positions:
1 Ge 0.375 0.872 0.747
2 Ge 0.497 0.372 0.625
3 Ge 0.875 0.128 0.503
4 Ge 0.253 0.628 0.125
5 Se 0.750 0.500 0.250
6 Se 0.000 0.000 0.000
7 Th 0.759 0.255 0.873
8 Th 0.991 0.613 0.745
9 Th 0.618 0.745 0.505
10 Th 0.132 0.387 0.377
11 Th 0.495 0.113 0.241
12 Th 0.623 0.755 0.009
13 Th 0.255 0.245 0.868
14 Th 0.127 0.887 0.382

Uncorrected formation energy, meV/atom: -867



Th5GeSe5 after structural relaxation. Source: Alexandria, functional PBE.

abc: 5.944 7.270 8.394
angles: 106.63 90.00 114.13
Fractional positions:
1 Th 0.833 0.666 0.163
2 Th 0.837 0.674 0.671
3 Th 0.500 0.000 0.000
4 Th 0.163 0.326 0.329
5 Th 0.167 0.334 0.837
6 Ge 0.000 0.000 0.000
7 Se 0.662 0.324 0.341
8 Se 0.660 0.320 0.819
9 Se 0.000 0.000 0.500
10 Se 0.340 0.680 0.181
11 Se 0.338 0.676 0.659

Uncorrected formation energy, meV/atom: -1489



Th4GeSe5 after structural relaxation. Source: Alexandria, functional PBE.

abc: 4.265 8.434 9.460
angles: 104.48 103.03 90.00
Fractional positions:
1 Th 0.333 0.897 0.665
2 Th 0.000 0.751 0.999
3 Th 0.667 0.103 0.335
4 Th 0.000 0.249 0.001
5 Ge 0.500 0.000 0.000
6 Se 0.835 0.665 0.670
7 Se 0.833 0.149 0.665
8 Se 0.167 0.851 0.335
9 Se 0.500 0.500 0.000
10 Se 0.165 0.335 0.330

Uncorrected formation energy, meV/atom: -1490



Th5GeSe4 after structural relaxation. Source: Alexandria, functional PBE.

abc: 4.288 5.973 11.058
angles: 105.67 101.18 90.00
Fractional positions:
1 Th 0.599 0.099 0.198
2 Th 0.799 0.299 0.599
3 Th 0.201 0.701 0.401
4 Th 0.000 0.500 0.000
5 Th 0.401 0.901 0.802
6 Ge 0.000 0.000 0.000
7 Se 0.400 0.400 0.799
8 Se 0.800 0.800 0.599
9 Se 0.200 0.200 0.401
10 Se 0.600 0.600 0.201

Uncorrected formation energy, meV/atom: -1426



Th2GeSe after structural relaxation. Source: Alexandria, functional PBE.

abc: 4.158 4.158 7.835
angles: 74.61 74.61 60.00
Fractional positions:
1 Th 0.949 0.949 0.154
2 Th 0.768 0.768 0.697
3 Ge 0.360 0.360 0.921
4 Se 0.191 0.191 0.428

Energy relative to the lowest polymorph listed for this composition, meV per atom: 75
Uncorrected formation energy, meV/atom: -1148



Th3Ge2Se after structural relaxation. Source: Alexandria, functional PBE.

abc: 6.038 8.572 12.827
angles: 90.00 90.00 90.00
Fractional positions:
1 Th 0.250 0.630 0.587
2 Th 0.250 0.130 0.913
3 Th 0.250 0.621 0.915
4 Th 0.250 0.121 0.585
5 Th 0.249 0.624 0.249
6 Th 0.249 0.124 0.251
7 Th 0.751 0.876 0.749
8 Th 0.751 0.376 0.751
9 Th 0.750 0.879 0.415
10 Th 0.750 0.379 0.085
11 Th 0.750 0.870 0.087
12 Th 0.750 0.370 0.413
13 Ge 0.251 0.876 0.752
14 Ge 0.251 0.376 0.748
15 Ge 0.250 0.873 0.417
16 Ge 0.250 0.373 0.083
17 Ge 0.750 0.627 0.917
18 Ge 0.750 0.127 0.583
19 Ge 0.749 0.624 0.252
20 Ge 0.749 0.124 0.248
21 Se 0.250 0.876 0.083
22 Se 0.250 0.376 0.417
23 Se 0.750 0.624 0.583
24 Se 0.750 0.124 0.917

Uncorrected formation energy, meV/atom: -1092



Th2GeSe after structural relaxation. Source: Alexandria, functional PBE.

abc: 4.156 4.156 7.328
angles: 90.00 90.00 60.00
Fractional positions:
1 Th 0.667 0.667 0.240
2 Th 0.333 0.333 0.760
3 Ge 0.000 0.000 0.000
4 Se 0.000 0.000 0.500

Energy relative to the lowest polymorph listed for this composition, meV per atom: 74
Uncorrected formation energy, meV/atom: -1149



ThTl2GeSe4 after structural relaxation. Source: Alexandria, functional PBE.

abc: 4.282 8.038 7.326
angles: 72.44 90.00 90.00
Fractional positions:
1 Th 0.000 0.500 0.500
2 Tl 0.000 0.000 0.000
3 Tl 0.500 0.000 0.500
4 Ge 0.500 0.500 0.000
5 Se 0.000 0.701 0.766
6 Se 0.000 0.299 0.234
7 Se 0.500 0.706 0.262
8 Se 0.500 0.294 0.738

Uncorrected formation energy, meV/atom: -875



TmThGeSe after structural relaxation. Source: Alexandria, functional PBE.

abc: 4.202 4.202 7.161
angles: 72.94 72.94 60.00
Fractional positions:
1 Tm 0.698 0.698 0.906
2 Th 0.190 0.190 0.431
3 Ge 0.440 0.440 0.680
4 Se 0.949 0.949 0.154

Uncorrected formation energy, meV/atom: -1272



Ti4GeSe8 after structural relaxation. Source: Alexandria, functional PBE.

abc: 7.147 7.147 7.890
angles: 63.07 63.07 60.00
Fractional positions:
1 Ti 0.000 0.500 0.000
2 Ti 0.500 0.500 0.000
3 Ti 0.500 0.000 0.000
4 Ti 0.000 0.000 0.000
5 Ge 0.500 0.500 0.500
6 Se 0.747 0.244 0.766
7 Se 0.756 0.253 0.234
8 Se 0.253 0.756 0.234
9 Se 0.756 0.756 0.234
10 Se 0.742 0.742 0.773
11 Se 0.258 0.258 0.227
12 Se 0.244 0.244 0.766
13 Se 0.244 0.747 0.766

Uncorrected formation energy, meV/atom: -984



Ti2GeSe after structural relaxation. Source: Alexandria, functional PBE.

abc: 4.545 4.545 4.545
angles: 60.00 60.00 60.00
Fractional positions:
1 Ge 0.000 0.000 0.000
2 Se 0.500 0.500 0.500
3 Ti 0.250 0.250 0.250
4 Ti 0.750 0.750 0.750

Energy relative to the lowest polymorph listed for this composition, meV per atom: 303
Uncorrected formation energy, meV/atom: -452



Ti2GeSe after structural relaxation. Source: Alexandria, functional PBE.

abc: 3.675 3.675 6.473
angles: 73.51 73.51 60.00
Fractional positions:
1 Ge 0.000 0.000 0.000
2 Se 0.500 0.500 0.500
3 Ti 0.257 0.257 0.229
4 Ti 0.743 0.743 0.771

Energy relative to the lowest polymorph listed for this composition, meV per atom: 54
Uncorrected formation energy, meV/atom: -700



Ti2GeSe after structural relaxation. Source: Alexandria, functional PBE.

abc: 5.766 5.766 7.090
angles: 66.00 66.00 90.00
Fractional positions:
1 Ge 0.500 0.500 0.000
2 Ge 0.250 0.750 0.500
3 Se 0.000 0.000 0.000
4 Se 0.750 0.250 0.500
5 Ti 0.621 0.125 0.250
6 Ti 0.129 0.625 0.250
7 Ti 0.375 0.379 0.750
8 Ti 0.875 0.871 0.750

Energy relative to the lowest polymorph listed for this composition, meV per atom: 600
Uncorrected formation energy, meV/atom: -155



Ti2GeSe2 after structural relaxation. Source: Alexandria, functional PBE.

abc: 7.263 7.263 3.314
angles: 90.00 90.00 90.00
Fractional positions:
1 Ge 0.000 0.000 0.000
2 Ge 0.500 0.500 0.000
3 Se 0.142 0.642 0.500
4 Se 0.642 0.858 0.500
5 Se 0.858 0.358 0.500
6 Se 0.358 0.142 0.500
7 Ti 0.351 0.851 0.000
8 Ti 0.851 0.649 0.000
9 Ti 0.649 0.149 0.000
10 Ti 0.149 0.351 0.000

Uncorrected formation energy, meV/atom: -674



Ti2Ge2Se after structural relaxation. Source: Alexandria, functional PBE.

abc: 6.926 6.926 3.657
angles: 90.00 90.00 90.00
Fractional positions:
1 Ge 0.128 0.628 0.500
2 Ge 0.628 0.872 0.500
3 Ge 0.872 0.372 0.500
4 Ge 0.372 0.128 0.500
5 Se 0.000 0.000 0.000
6 Se 0.500 0.500 0.000
7 Ti 0.329 0.829 0.000
8 Ti 0.829 0.671 0.000
9 Ti 0.671 0.171 0.000
10 Ti 0.171 0.329 0.000

Uncorrected formation energy, meV/atom: -516